# 1
! GGA-PBE ZnCrPb2, optimized geometry; values from VASP
&SYSTEM
  ibrav = 0, nat = 4, ntyp = 3
/
ATOMIC_SPECIES
Zn 65.41 Zn.upf
Cr 52.00 Cr.upf
Pb 207.20 Pb.upf
CELL_PARAMETERS angstrom
-2.181 2.181 4.901
2.181 -2.181 4.901
2.181 2.181 -4.901
ATOMIC_POSITIONS angstrom
Zn 0.000 0.000 0.000
Cr 2.181 0.000 2.450
Pb 0.000 0.000 4.901
Pb 0.000 2.181 2.450
! DFT total energy: -4.14 eV/atom
! Symmetry: I-4m2, No. 119

# 2
! GGA-PBE MnMoHOs, optimized geometry; values from VASP
&SYSTEM
  ibrav = 0, nat = 4, ntyp = 4
/
ATOMIC_SPECIES
Mn 54.94 Mn.upf
Mo 95.94 Mo.upf
H 1.01 H.upf
Os 190.23 Os.upf
CELL_PARAMETERS angstrom
-1.404 1.936 4.164
1.404 -1.936 4.164
1.404 1.936 -4.164
ATOMIC_POSITIONS angstrom
Mn 0.000 0.000 0.000
Mo 0.000 0.000 5.622
H 1.404 0.000 4.138
Os 0.000 0.000 2.751
! Symmetry: Imm2, No. 44
! Relative energy among the computed polymorphs: 7.5 kJ/mol of atoms

# 3
! GGA-PBE KAlMo2, optimized geometry; values from VASP
&SYSTEM
  ibrav = 0, nat = 4, ntyp = 3
/
ATOMIC_SPECIES
K 39.10 K.upf
Al 26.98 Al.upf
Mo 95.94 Mo.upf
CELL_PARAMETERS angstrom
-2.357 2.357 3.358
2.357 -2.357 3.358
2.357 2.357 -3.358
ATOMIC_POSITIONS angstrom
K 0.000 0.000 0.000
Al 2.357 0.000 1.679
Mo 0.000 0.000 3.358
Mo 0.000 2.357 1.679
! DFT total energy: -5.46 eV/atom
! Symmetry: I-4m2, No. 119

# 4
! GGA-PBE TcNiGe2, optimized geometry; values from VASP
&SYSTEM
  ibrav = 0, nat = 8, ntyp = 3
/
ATOMIC_SPECIES
Tc 98.00 Tc.upf
Ni 58.69 Ni.upf
Ge 72.64 Ge.upf
CELL_PARAMETERS angstrom
-3.288 3.288 2.835
3.288 -3.288 2.835
3.288 3.288 -2.835
ATOMIC_POSITIONS angstrom
Tc 0.000 0.000 0.000
Tc 0.000 3.288 1.417
Ni 3.288 0.000 1.417
Ni 0.000 0.000 2.835
Ge 1.644 -1.464 2.126
Ge 1.824 1.644 0.709
Ge 1.644 4.752 -0.709
Ge 1.464 1.644 3.544
! Symmetry: I-42d, No. 122
! Relative energy among the computed polymorphs: 52.9 kJ/mol of atoms

> What is the formula in the fourth record?

TcNiGe2